# 1
Density functional theory data (GGA-PBE) for a geometry-optimized Zr2TeBr structure.

Crystal system   tetragonal
Space-group type   No. 119
Size of the total moment   0.0 μB per formula unit
ρ   6.79 Mg/m³
DOS at the Fermi energy   5.16 states/eV/f.u.
Energy relative to the elements, uncorrected   -0.16 eV/atom

Lattice parameters (Å, degrees): 6.5426 6.5426 6.5426 144.20 144.20 51.53
Sites, in units of the cell vectors:
Zr 0.0000 0.0000 0.0000
Zr 0.7500 0.2500 0.5000
Te 0.5000 0.5000 0.0000
Br 0.2500 0.7500 0.5000

# 2
Density functional theory data (GGA-PBE) for a geometry-optimized Zr2TeBr structure.

Crystal system   trigonal
Space-group type   No. 166
Size of the total moment   0.0 μB per formula unit
ρ   7.03 Mg/m³
DOS at the Fermi energy   4.06 states/eV/f.u.
Energy relative to the elements, uncorrected   -0.43 eV/atom

Lattice parameters (Å, degrees): 9.0300 9.0300 9.0300 22.19 22.19 22.19
Sites, in units of the cell vectors:
Zr 0.2489 0.2489 0.2489
Zr 0.7511 0.7511 0.7511
Te 0.5000 0.5000 0.5000
Br 0.0000 0.0000 0.0000